Compound: GdHoLuCd
Source: Alexandria via LeMat-Bulk
Functional: PBE
Structure: relaxed

Cell: 7.657 7.657 7.657 Å, 90.00 90.00 90.00°
Positions (direct):
Gd 0.000 0.000 0.000
Gd 0.000 0.500 0.500
Gd 0.500 0.000 0.500
Gd 0.500 0.500 0.000
Ho 0.000 0.000 0.500
Ho 0.000 0.500 0.000
Ho 0.500 0.000 0.000
Ho 0.500 0.500 0.500
Lu 0.250 0.250 0.750
Lu 0.250 0.750 0.250
Lu 0.750 0.250 0.250
Lu 0.750 0.750 0.750
Cd 0.250 0.250 0.250
Cd 0.250 0.750 0.750
Cd 0.750 0.250 0.750
Cd 0.750 0.750 0.250

Values from the calculation:
calculated formation energy = -0.045 eV/atom
total magnetic moment = 7.6 μB per formula unit
symmetry = F-43m
crystal system = cubic